First-principles (PBE-GGA) data for a geometry-optimized Y2TmPb9 structure, as listed in Alexandria via LeMat-Bulk.

## Properties
space-group type = No. 123
energy = -4.498 eV per atom

POSCAR file:
```
Y2TmPb9
1.0
-4.0575 -0.1110 2.7112
2.6986 -0.6741 4.0111
0.8486 14.4826 1.8632
Pb Y Tm
9 2 1
Direct
0.5000 0.5000 0.3325 Pb
0.5000 0.5000 0.6675 Pb
0.5000 0.0000 0.5000 Pb
0.0000 0.5000 0.5000 Pb
0.5000 0.5000 0.0000 Pb
0.0000 0.5000 0.1650 Pb
0.5000 0.0000 0.8350 Pb
0.0000 0.5000 0.8350 Pb
0.5000 0.0000 0.1650 Pb
0.0000 0.0000 0.6668 Y
0.0000 0.0000 0.3332 Y
0.0000 0.0000 0.0000 Tm
```

---

First-principles (PBE-GGA) data for a geometry-optimized ZrZn3Pd structure, as listed in Alexandria via LeMat-Bulk.

## Properties
space-group type = No. 31
polymorph energy (0 for the lowest one) = 0.016 eV/atom
energy = -3.794 eV per atom

POSCAR file:
```
ZrZn3Pd
1.0
4.8034 -0.0001 0.0000
-0.0001 6.7836 -0.0002
-0.0005 -0.0008 5.1861
Pd Zn Zr
2 6 2
Direct
0.0689 0.1505 0.7009 Pd
0.5783 0.6501 0.2009 Pd
0.1141 0.5177 0.4432 Zn
0.1142 0.5177 0.9582 Zn
0.5328 0.0176 0.4582 Zn
0.7832 0.2858 0.2007 Zn
0.5327 0.0176 0.9432 Zn
0.8649 0.7862 0.7007 Zn
0.6008 0.4067 0.7008 Zr
0.0463 0.9064 0.2008 Zr
```

---

First-principles (PBE-GGA) data for a geometry-optimized MgSc2FeS structure, as listed in Alexandria via LeMat-Bulk.

## Properties
space-group type = No. 123
polymorph energy (0 for the lowest one) = 0.343 eV/atom
energy = -5.466 eV per atom
formation energy from raw total energies = -0.097 eV per atom

POSCAR file:
```
MgSc2FeS
1.0
4.9449 0.0000 0.0000
0.0000 4.1471 0.0000
0.0000 0.0000 4.9449
Sc Fe S Mg
2 1 1 1
Direct
0.0000 0.0000 0.5000 Sc
0.5000 0.0000 0.0000 Sc
0.0000 0.0000 0.0000 Fe
0.0000 0.5000 0.0000 S
0.5000 0.5000 0.5000 Mg
```

---

First-principles (PBE-GGA) data for a geometry-optimized Li3TbPb4 structure, as listed in Alexandria via LeMat-Bulk.

## Properties
space-group type = No. 47
energy = -3.464 eV per atom

POSCAR file:
```
Li3TbPb4
1.0
4.2661 0.0000 0.0000
0.0000 4.7890 0.0000
0.0000 0.0000 9.6558
Li Pb Tb
3 4 1
Direct
0.5000 0.0000 0.7308 Li
0.5000 0.5000 0.5000 Li
0.5000 0.0000 0.2692 Li
0.0000 0.0000 0.5000 Pb
0.0000 0.5000 0.7358 Pb
0.0000 0.5000 0.2642 Pb
0.0000 0.0000 0.0000 Pb
0.5000 0.5000 0.0000 Tb
```

---

First-principles (PBE-GGA) data for a geometry-optimized AgSb2Te2 structure, as listed in Alexandria via LeMat-Bulk.

## Properties
space-group type = No. 139
polymorph energy (0 for the lowest one) = 0.000 eV/atom
energy = -3.349 eV per atom
formation energy from raw total energies = 0.127 eV per atom

POSCAR file:
```
AgSb2Te2
1.0
6.0535 0.0000 0.0000
0.0000 6.0535 0.0000
3.0267 3.0267 4.3452
Te Sb Ag
2 2 1
Direct
0.7500 0.2500 0.5000 Te
0.2500 0.7500 0.5000 Te
0.3164 0.3164 0.3673 Sb
0.6836 0.6836 0.6327 Sb
0.0000 0.0000 0.0000 Ag
```

---

First-principles (PBE-GGA) data for a geometry-optimized LiAcErZn structure, as listed in Alexandria via LeMat-Bulk.

## Properties
space-group type = No. 216
energy = -3.018 eV per atom

POSCAR file:
```
LiAcErZn
1.0
5.3547 0.0000 0.0000
2.6774 4.6373 0.0000
2.6774 1.5458 4.3721
Er Li Zn Ac
1 1 1 1
Direct
0.2500 0.2500 0.2500 Er
0.5000 0.5000 0.5000 Li
0.0000 0.0000 0.0000 Zn
0.7500 0.7500 0.7500 Ac
```